First-principles (PBE) data for Hf3MgRh4 after structural relaxation, as listed in the Alexandria database.

Values from the calculation:
Energy relative to the elements ... -881 meV per atom
VASP energy ... -8.489 eV per atom

CIF file:
```
data_Hf3MgRh4
_cell_length_a 4.5851
_cell_length_b 4.5851
_cell_length_c 22.4048
_cell_angle_alpha 90.00
_cell_angle_beta 90.00
_cell_angle_gamma 120.00
_symmetry_space_group_name_H-M 'R -3 m'
_symmetry_Int_Tables_number 166
_symmetry_space_group_name_Hall '-R 3 2"'
loop_
_atom_site_label
_atom_site_fract_x
_atom_site_fract_y
_atom_site_fract_z
Hf1 0.0000 0.0000 0.0000
Hf2 0.0000 0.0000 0.2455
Mg1 0.0000 0.0000 0.5000
Rh1 0.0000 0.0000 0.1215
Rh2 0.0000 0.0000 0.3715
```